[1]
Compound: Ti2SbH
Source: Alexandria via LeMat-Bulk
Functional: GGA-PBE
Structure: optimized geometry

Unit cell a=6.729 b=5.508 c=6.418 alpha=90.00 beta=97.60 gamma=90.00
Space group P2_1/c (No. 14)
Symmetry-distinct sites (fractional):
Ti  0.019  0.125  0.304 (multiplicity 4)
Ti  0.310  0.640  0.513 (multiplicity 4)
Sb  0.342  0.144  0.653 (multiplicity 4)
H  0.190  0.651  0.769 (multiplicity 4)

magnetic moment = 0.00 Bohr magnetons per cell
VASP energy = -6.259 eV per atom
energy relative to the lowest polymorph listed for this composition = 0 meV/atom



[2]
Compound: Ti5Sb2H
Source: Alexandria via LeMat-Bulk
Functional: GGA-PBE
Structure: optimized geometry

Unit cell a=3.109 b=15.434 c=12.335 alpha=90.00 beta=90.00 gamma=90.00
Space group Cmcm (No. 63)
Symmetry-distinct sites (fractional):
Ti  0.000  0.133  0.123 (multiplicity 8)
Ti  0.000  0.231  0.750 (multiplicity 4)
Ti  0.000  0.311  0.048 (multiplicity 8)
Sb  0.000  0.051  0.619 (multiplicity 8)
H  0.000  0.201  0.250 (multiplicity 4)

magnetic moment = 0.00 Bohr magnetons per cell
VASP energy = -6.430 eV per atom
energy relative to the lowest polymorph listed for this composition = 357 meV/atom



[3]
Compound: Ti3SbH
Source: Alexandria via LeMat-Bulk
Functional: GGA-PBE
Structure: optimized geometry

Unit cell a=7.269 b=5.347 c=7.840 alpha=90.00 beta=99.37 gamma=90.00
Space group P2_1/c (No. 14)
Symmetry-distinct sites (fractional):
Ti  0.042  0.098  0.182 (multiplicity 4)
Ti  0.183  0.567  0.071 (multiplicity 4)
Ti  0.323  0.118  0.936 (multiplicity 4)
Sb  0.399  0.620  0.805 (multiplicity 4)
H  0.064  0.245  0.444 (multiplicity 4)

magnetic moment = 0.00 Bohr magnetons per cell
VASP energy = -6.524 eV per atom
energy relative to the lowest polymorph listed for this composition = 174 meV/atom



[4]
Compound: Ti4Sb2H
Source: Alexandria via LeMat-Bulk
Functional: GGA-PBE
Structure: optimized geometry

Unit cell a=5.262 b=5.617 c=7.961 alpha=90.00 beta=104.52 gamma=90.00
Space group P2_1/m (No. 11)
Symmetry-distinct sites (fractional):
Ti  0.182  0.250  0.053 (multiplicity 2)
Ti  0.249  0.750  0.357 (multiplicity 2)
Ti  0.263  0.503  0.711 (multiplicity 4)
Sb  0.243  0.250  0.403 (multiplicity 2)
Sb  0.342  0.750  0.033 (multiplicity 2)
H  0.088  0.250  0.795 (multiplicity 2)

magnetic moment = 0.00 Bohr magnetons per cell
VASP energy = -6.645 eV per atom
energy relative to the lowest polymorph listed for this composition = 43 meV/atom



[5]
Compound: Ti2SbH
Source: Alexandria via LeMat-Bulk
Functional: GGA-PBE
Structure: optimized geometry

Unit cell a=3.734 b=13.808 c=4.396 alpha=90.00 beta=90.00 gamma=90.00
Space group Cmcm (No. 63)
Symmetry-distinct sites (fractional):
Ti  0.000  0.070  0.250 (multiplicity 4)
Ti  0.000  0.259  0.750 (multiplicity 4)
Sb  0.000  0.405  0.250 (multiplicity 4)
H  0.000  0.209  0.250 (multiplicity 4)

magnetic moment = 0.00 Bohr magnetons per cell
VASP energy = -6.228 eV per atom
energy relative to the lowest polymorph listed for this composition = 30 meV/atom



[6]
Compound: Ti3SbH
Source: Alexandria via LeMat-Bulk
Functional: GGA-PBE
Structure: optimized geometry

Unit cell a=2.925 b=5.406 c=13.787 alpha=90.00 beta=90.00 gamma=90.00
Space group Amm2 (No. 38)
Symmetry-distinct sites (fractional):
Ti  0.000  0.000  0.000 (multiplicity 2)
Ti  0.500  0.244  0.362 (multiplicity 4)
Sb  0.500  0.000  0.177 (multiplicity 2)
H  0.000  0.000  0.856 (multiplicity 2)

magnetic moment = 0.00 Bohr magnetons per cell
VASP energy = -5.890 eV per atom
energy relative to the lowest polymorph listed for this composition = 808 meV/atom



[7]
Compound: Ti3SbH
Source: Alexandria via LeMat-Bulk
Functional: GGA-PBE
Structure: optimized geometry

Unit cell a=4.151 b=4.151 c=4.151 alpha=90.00 beta=90.00 gamma=90.00
Space group Pm-3m (No. 221)
Symmetry-distinct sites (fractional):
Ti  0.000  0.000  0.500 (multiplicity 3)
Sb  0.500  0.500  0.500 (multiplicity 1)
H  0.000  0.000  0.000 (multiplicity 1)

magnetic moment = 0.00 Bohr magnetons per cell
VASP energy = -6.698 eV per atom
energy relative to the lowest polymorph listed for this composition = 0 meV/atom



[8]
Compound: Ti3SbH
Source: Alexandria via LeMat-Bulk
Functional: GGA-PBE
Structure: optimized geometry

Unit cell a=5.483 b=9.643 c=5.925 alpha=90.00 beta=90.00 gamma=90.00
Space group Cmcm (No. 63)
Symmetry-distinct sites (fractional):
Ti  0.000  0.000  0.000 (multiplicity 4)
Ti  0.248  0.274  0.250 (multiplicity 8)
Sb  0.000  0.469  0.750 (multiplicity 4)
H  0.000  0.131  0.250 (multiplicity 4)

magnetic moment = 0.00 Bohr magnetons per cell
VASP energy = -6.358 eV per atom
energy relative to the lowest polymorph listed for this composition = 339 meV/atom



Look up the VASP energy of the seventh one. -6.698 eV per atom



Look up the VASP energy of the seventh one. -6.698 eV per atom



What is the formula in the fifth record? Ti2SbH



energy relative to the lowest polymorph listed for this composition of number 3 (Ti3SbH)? 174 meV/atom